VASP calculation (GGA-PBE) on a relaxed structure of Y3BiC.

SG: No. 38
N(E_F): 3.42 states/eV per cell
calculated volume: 38.23 Å³/atom
formation enthalpy at 0 K: 0.0581 eV per atom
offset from the most stable computed form: 633 meV per atom

Unit cell a=3.5070 b=8.6544 c=8.6544 alpha=133.31 beta=90.00 gamma=90.00
Positions (direct):
C 0.0000 0.4095 0.5905
Y 0.5000 0.6671 0.8048
Y 0.5000 0.1952 0.3329
Y 0.0000 0.2631 0.7369
Bi 0.5000 0.0931 0.9069